Compound: Al2Ir2W
Source: the Alexandria database
Functional: PBE
Structure: relaxed

Cell lengths 7.221, 7.221, 2.802 Å; angles 90.00, 90.00, 90.00 degrees
Space group P4/mbm (No. 127)
Inequivalent atoms, fractional coordinates:
Al 0.131 0.369 0.000
Ir 0.168 0.668 0.500
W 0.000 0.000 0.000

Summary:
Total DFT energy (no corrections) ... -8.034 eV/atom
Energy of formation from the pure elements ... -0.402 eV/atom